Record 1
Compound: Cr3Re2
Source: Alexandria
Functional: SCAN
Structure: PBEsol geometry

Results
* raw total energy: -39.4266 eV/atom
* space-group type: No. 136
* M_tot: 0.000 Bohr magnetons per cell
* mass density: 13.78 g/cm³
* ΔE_f: 0.04 eV/atom

CIF file:
```
data_Cr3Re2
_cell_length_a 8.851
_cell_length_b 8.851
_cell_length_c 4.878
_cell_angle_alpha 90.00
_cell_angle_beta 90.00
_cell_angle_gamma 90.00
_symmetry_space_group_name_H-M 'P 1'
_symmetry_Int_Tables_number 1
loop_
_symmetry_equiv_pos_as_xyz
'x,y,z'
loop_
_atom_site_label
_atom_site_type_symbol
_atom_site_fract_x
_atom_site_fract_y
_atom_site_fract_z
Cr1 Cr 0.000 0.000 0.000
Cr2 Cr 0.033 0.380 0.500
Cr3 Cr 0.063 0.258 0.000
Cr4 Cr 0.120 0.533 0.000
Cr5 Cr 0.242 0.563 0.500
Cr6 Cr 0.258 0.063 0.000
Cr7 Cr 0.380 0.033 0.500
Cr8 Cr 0.437 0.758 0.500
Cr9 Cr 0.467 0.880 0.000
Cr10 Cr 0.500 0.500 0.500
Cr11 Cr 0.533 0.120 0.000
Cr12 Cr 0.563 0.242 0.500
Cr13 Cr 0.620 0.967 0.500
Cr14 Cr 0.742 0.937 0.000
Cr15 Cr 0.758 0.437 0.500
Cr16 Cr 0.880 0.467 0.000
Cr17 Cr 0.937 0.742 0.000
Cr18 Cr 0.967 0.620 0.500
Re1 Re 0.106 0.106 0.500
Re2 Re 0.185 0.815 0.252
Re3 Re 0.185 0.815 0.748
Re4 Re 0.315 0.315 0.248
Re5 Re 0.315 0.315 0.752
Re6 Re 0.394 0.606 0.000
Re7 Re 0.606 0.394 0.000
Re8 Re 0.685 0.685 0.248
Re9 Re 0.685 0.685 0.752
Re10 Re 0.815 0.185 0.252
Re11 Re 0.815 0.185 0.748
Re12 Re 0.894 0.894 0.500
```

Record 2
Compound: CrRe
Source: Alexandria
Functional: SCAN
Structure: PBEsol geometry

Results
* raw total energy: -44.7388 eV/atom
* space-group type: No. 129
* M_tot: 0.000 Bohr magnetons per cell
* mass density: 15.33 g/cm³
* ΔE_f: 0.00 eV/atom

CIF file:
```
data_CrRe
_cell_length_a 2.887
_cell_length_b 2.887
_cell_length_c 6.193
_cell_angle_alpha 90.00
_cell_angle_beta 90.00
_cell_angle_gamma 90.00
_symmetry_space_group_name_H-M 'P 1'
_symmetry_Int_Tables_number 1
loop_
_symmetry_equiv_pos_as_xyz
'x,y,z'
loop_
_atom_site_label
_atom_site_type_symbol
_atom_site_fract_x
_atom_site_fract_y
_atom_site_fract_z
Cr1 Cr 0.250 0.250 0.098
Cr2 Cr 0.750 0.750 0.902
Re1 Re 0.250 0.250 0.640
Re2 Re 0.750 0.750 0.360
```

Record 3
Compound: Cr13Re2
Source: Alexandria
Functional: SCAN
Structure: PBEsol geometry

Results
* raw total energy: -25.3300 eV/atom
* space-group type: No. 136
* M_tot: 0.000 Bohr magnetons per cell
* mass density: 9.89 g/cm³
* ΔE_f: 0.08 eV/atom

CIF file:
```
data_Cr13Re2
_cell_length_a 8.772
_cell_length_b 8.772
_cell_length_c 4.575
_cell_angle_alpha 90.00
_cell_angle_beta 90.00
_cell_angle_gamma 90.00
_symmetry_space_group_name_H-M 'P 1'
_symmetry_Int_Tables_number 1
loop_
_symmetry_equiv_pos_as_xyz
'x,y,z'
loop_
_atom_site_label
_atom_site_type_symbol
_atom_site_fract_x
_atom_site_fract_y
_atom_site_fract_z
Cr1 Cr 0.000 0.000 0.000
Cr2 Cr 0.032 0.377 0.500
Cr3 Cr 0.060 0.258 0.000
Cr4 Cr 0.123 0.532 0.000
Cr5 Cr 0.186 0.814 0.256
Cr6 Cr 0.186 0.814 0.744
Cr7 Cr 0.242 0.560 0.500
Cr8 Cr 0.258 0.060 0.000
Cr9 Cr 0.314 0.314 0.244
Cr10 Cr 0.314 0.314 0.756
Cr11 Cr 0.377 0.032 0.500
Cr12 Cr 0.440 0.758 0.500
Cr13 Cr 0.468 0.877 0.000
Cr14 Cr 0.500 0.500 0.500
Cr15 Cr 0.532 0.123 0.000
Cr16 Cr 0.560 0.242 0.500
Cr17 Cr 0.623 0.968 0.500
Cr18 Cr 0.686 0.686 0.244
Cr19 Cr 0.686 0.686 0.756
Cr20 Cr 0.742 0.940 0.000
Cr21 Cr 0.758 0.440 0.500
Cr22 Cr 0.814 0.186 0.256
Cr23 Cr 0.814 0.186 0.744
Cr24 Cr 0.877 0.468 0.000
Cr25 Cr 0.940 0.742 0.000
Cr26 Cr 0.968 0.623 0.500
Re1 Re 0.106 0.106 0.500
Re2 Re 0.394 0.606 0.000
Re3 Re 0.606 0.394 0.000
Re4 Re 0.894 0.894 0.500
```

Which value of ΔE_f does entry 2 give?
0.00 eV/atom

raw total energy of number 2 (CrRe)?
-44.7388 eV/atom

raw total energy of number 1 (Cr3Re2)?
-39.4266 eV/atom